{
  "formula": "Si2HgBr",
  "functional": "SCAN",
  "state": "PBEsol geometry",
  "sg": "R3m (160)",
  "relative_energy_ev_per_fu": 0.00,
  "e_form_raw_ev_per_atom": 0.1628,
  "lattice_angstrom": [[1.9092, 1.1023, 6.7814], [-1.9092, 1.1023, 6.7814], [0.0000, -2.2045, 6.7814]],
  "species": ["Si", "Si", "Hg", "Br"],
  "frac_coords": [[0.0000, 0.0000, 0.0000], [0.2916, 0.2916, 0.2916], [0.7518, 0.7518, 0.7518], [0.5226, 0.5226, 0.5226]]
}



{
  "formula": "CaAg2Au",
  "functional": "SCAN",
  "state": "PBEsol geometry",
  "dft_energy_ev_per_cell": -143.060,
  "sg": "P4mm (99)",
  "lattice_angstrom": [[3.5661, 0.0000, 0.0000], [0.0000, 3.5661, 0.0000], [0.0000, 0.0000, 6.1667]],
  "species": ["Ca", "Ag", "Ag", "Au"],
  "frac_coords": [[0.0000, 0.0000, 0.0000], [0.0000, 0.0000, 0.5039], [0.5000, 0.5000, 0.2916], [0.5000, 0.5000, 0.7414]]
}



{
  "formula": "MnOs3",
  "functional": "SCAN",
  "state": "PBEsol geometry",
  "dft_energy_ev_per_cell": -233.975,
  "sg": "Pmm2 (25)",
  "lattice_angstrom": [[2.6940, 0.0000, 0.0000], [0.0000, 4.2161, 0.0000], [0.0000, 0.0000, 4.6462]],
  "species": ["Mn", "Os", "Os", "Os"],
  "frac_coords": [[0.0000, 0.0000, 0.0000], [0.0000, 0.5000, 0.3276], [0.5000, 0.0000, 0.5065], [0.5000, 0.5000, 0.8460]]
}



{
  "formula": "CdReP2Cl",
  "functional": "SCAN",
  "state": "PBEsol geometry",
  "sg": "P4/mmm (123)",
  "e_form_raw_ev_per_atom": 0.3484,
  "lattice_angstrom": [[4.5395, 0.0000, 0.0000], [0.0000, 4.5395, 0.0000], [0.0000, 0.0000, 5.1097]],
  "species": ["Cd", "Re", "P", "P", "Cl"],
  "frac_coords": [[0.0000, 0.0000, 0.0000], [0.5000, 0.5000, 0.5000], [0.0000, 0.5000, 0.5000], [0.5000, 0.0000, 0.5000], [0.5000, 0.5000, 0.0000]]
}



{
  "formula": "FeAu2Se",
  "functional": "SCAN",
  "state": "PBEsol geometry",
  "sg": "Cm (8)",
  "e_form_raw_ev_per_atom": 0.0442,
  "lattice_angstrom": [[4.3816, -1.4380, 0.0000], [4.3816, 1.4380, 0.0000], [-1.4884, 0.0000, 5.8683]],
  "species": ["Fe", "Au", "Au", "Se"],
  "frac_coords": [[0.0000, 0.0000, 0.0000], [0.5233, 0.5233, 0.3914], [0.7506, 0.7506, 0.1540], [0.3804, 0.3804, 0.7125]]
}



{
  "formula": "NaAlSi2H2O7",
  "functional": "SCAN",
  "state": "PBEsol geometry",
  "dft_energy_ev_per_cell": -926.538,
  "sg": "C2/c (15)",
  "lattice_angstrom": [[9.7138, -6.9333, 0.0000], [9.7138, 6.9333, 0.0000], [-9.5131, 0.0000, 9.7686]],
  "species": ["Na", "Na", "Na", "Na", "Na", "Na", "Na", "Na", "Al", "Al", "Al", "Al", "Al", "Al", "Al", "Al", "Si", "Si", "Si", "Si", "Si", "Si", "Si", "Si", "Si", "Si", "Si", "Si", "Si", "Si", "Si", "Si", "H", "H", "H", "H", "H", "H", "H", "H", "H", "H", "H", "H", "H", "H", "H", "H", "O", "O", "O", "O", "O", "O", "O", "O", "O", "O", "O", "O", "O", "O", "O", "O", "O", "O", "O", "O", "O", "O", "O", "O", "O", "O", "O", "O", "O", "O", "O", "O", "O", "O", "O", "O", "O", "O", "O", "O", "O", "O", "O", "O", "O", "O", "O", "O", "O", "O", "O", "O", "O", "O", "O", "O"],
  "frac_coords": [[0.1002, 0.8998, 0.7500], [0.1194, 0.5670, 0.3107], [0.3711, 0.6289, 0.2500], [0.4330, 0.8806, 0.1893], [0.5670, 0.1194, 0.8107], [0.6289, 0.3711, 0.7500], [0.8806, 0.4330, 0.6893], [0.8998, 0.1002, 0.2500], [0.0385, 0.2158, 0.7914], [0.2158, 0.0385, 0.2914], [0.2928, 0.4682, 0.5388], [0.4682, 0.2928, 0.0388], [0.5318, 0.7072, 0.9612], [0.7072, 0.5318, 0.4612], [0.7842, 0.9615, 0.7086], [0.9615, 0.7842, 0.2086], [0.0345, 0.2946, 0.2589], [0.0911, 0.7597, 0.0433], [0.2149, 0.4749, 0.9352], [0.2403, 0.9089, 0.4567], [0.2432, 0.5755, 0.7813], [0.2946, 0.0345, 0.7589], [0.4245, 0.7568, 0.7187], [0.4749, 0.2149, 0.4352], [0.5251, 0.7851, 0.5648], [0.5755, 0.2432, 0.2813], [0.7054, 0.9655, 0.2411], [0.7568, 0.4245, 0.2187], [0.7597, 0.0911, 0.5433], [0.7851, 0.5251, 0.0648], [0.9089, 0.2403, 0.9567], [0.9655, 0.7054, 0.7411], [0.0676, 0.8042, 0.4785], [0.1569, 0.7168, 0.5501], [0.1958, 0.9324, 0.0215], [0.2832, 0.8431, 0.9499], [0.3435, 0.3961, 0.2252], [0.3961, 0.3435, 0.7252], [0.4024, 0.5226, 0.3706], [0.4774, 0.5976, 0.1294], [0.5226, 0.4024, 0.8706], [0.5976, 0.4774, 0.6294], [0.6039, 0.6565, 0.2748], [0.6565, 0.6039, 0.7748], [0.7168, 0.1569, 0.0501], [0.8042, 0.0676, 0.9785], [0.8431, 0.2832, 0.4499], [0.9324, 0.1958, 0.5215], [0.0011, 0.7201, 0.8828], [0.0039, 0.2129, 0.8972], [0.0650, 0.7590, 0.5194], [0.0839, 0.1530, 0.2604], [0.0927, 0.3750, 0.8555], [0.1057, 0.6632, 0.7299], [0.1120, 0.8085, 0.3659], [0.1452, 0.4151, 0.3804], [0.1530, 0.0839, 0.7604], [0.1910, 0.6267, 0.0483], [0.1915, 0.8880, 0.1341], [0.2129, 0.0039, 0.3972], [0.2145, 0.4882, 0.8228], [0.2410, 0.9350, 0.9806], [0.2799, 0.9989, 0.6172], [0.2844, 0.4691, 0.6633], [0.3151, 0.6343, 0.5854], [0.3157, 0.4850, 0.2843], [0.3368, 0.8943, 0.7701], [0.3658, 0.4344, 0.0294], [0.3657, 0.6849, 0.9146], [0.3733, 0.8090, 0.4517], [0.3750, 0.0927, 0.3555], [0.4151, 0.1452, 0.8804], [0.4344, 0.3658, 0.5294], [0.4691, 0.2844, 0.1633], [0.4850, 0.3157, 0.7843], [0.4882, 0.2145, 0.3228], [0.5118, 0.7855, 0.6772], [0.5150, 0.6843, 0.2157], [0.5309, 0.7156, 0.8367], [0.5656, 0.6342, 0.4706], [0.5849, 0.8548, 0.1196], [0.6250, 0.9073, 0.6445], [0.6267, 0.1910, 0.5483], [0.6343, 0.3151, 0.0854], [0.6342, 0.5656, 0.9706], [0.6632, 0.1057, 0.2299], [0.6843, 0.5150, 0.7157], [0.6849, 0.3657, 0.4146], [0.7156, 0.5309, 0.3367], [0.7201, 0.0011, 0.3828], [0.7590, 0.0650, 0.0194], [0.7855, 0.5118, 0.1772], [0.7871, 0.9961, 0.6028], [0.8085, 0.1120, 0.8659], [0.8090, 0.3733, 0.9517], [0.8470, 0.9161, 0.2396], [0.8548, 0.5849, 0.6196], [0.8880, 0.1915, 0.6341], [0.8943, 0.3368, 0.2701], [0.9073, 0.6250, 0.1445], [0.9161, 0.8470, 0.7396], [0.9350, 0.2410, 0.4806], [0.9961, 0.7871, 0.1028], [0.9989, 0.2799, 0.1172]]
}



{
  "formula": "ZrWN2F",
  "functional": "SCAN",
  "state": "PBEsol geometry",
  "sg": "P4/mmm (123)",
  "e_form_raw_ev_per_atom": -0.5652,
  "lattice_angstrom": [[3.9661, 0.0000, 0.0000], [0.0000, 3.9661, 0.0000], [0.0000, 0.0000, 3.8720]],
  "species": ["Zr", "W", "N", "N", "F"],
  "frac_coords": [[0.0000, 0.0000, 0.0000], [0.5000, 0.5000, 0.5000], [0.0000, 0.5000, 0.5000], [0.5000, 0.0000, 0.5000], [0.5000, 0.5000, 0.0000]]
}



{
  "formula": "Zr3GaNi",
  "functional": "SCAN",
  "state": "PBEsol geometry",
  "dft_energy_ev_per_cell": -124.580,
  "sg": "Pm-3m (221)",
  "lattice_angstrom": [[4.7557, 0.0000, 0.0000], [0.0000, 4.7557, 0.0000], [0.0000, 0.0000, 4.7557]],
  "species": ["Zr", "Zr", "Zr", "Ga", "Ni"],
  "frac_coords": [[0.0000, 0.0000, 0.5000], [0.0000, 0.5000, 0.0000], [0.5000, 0.0000, 0.0000], [0.5000, 0.5000, 0.5000], [0.0000, 0.0000, 0.0000]]
}



{
  "formula": "Zr2Ta",
  "functional": "SCAN",
  "state": "PBEsol geometry",
  "dft_energy_ev_per_cell": -126.051,
  "sg": "P4/mmm (123)",
  "lattice_angstrom": [[4.9534, 0.0000, 0.0000], [0.0000, 4.9534, 0.0000], [0.0000, 0.0000, 2.9565]],
  "species": ["Zr", "Zr", "Ta"],
  "frac_coords": [[0.0000, 0.5000, 0.0000], [0.5000, 0.0000, 0.0000], [0.0000, 0.0000, 0.5000]]
}



{
  "formula": "NaPPd3",
  "functional": "SCAN",
  "state": "PBEsol geometry",
  "dft_energy_ev_per_cell": -114.722,
  "sg": "Pm-3m (221)",
  "lattice_angstrom": [[4.4788, 0.0000, 0.0000], [0.0000, 4.4788, 0.0000], [0.0000, 0.0000, 4.4788]],
  "species": ["Na", "P", "Pd", "Pd", "Pd"],
  "frac_coords": [[0.0000, 0.0000, 0.0000], [0.5000, 0.5000, 0.5000], [0.0000, 0.5000, 0.5000], [0.5000, 0.0000, 0.5000], [0.5000, 0.5000, 0.0000]]
}



{
  "formula": "In2PbAu",
  "functional": "SCAN",
  "state": "PBEsol geometry",
  "dft_energy_ev_per_cell": -211.884,
  "sg": "Pm (6)",
  "lattice_angstrom": [[3.9371, 0.0000, 0.0000], [0.0000, 4.3122, 0.0000], [-1.9414, 0.0000, 5.7640]],
  "species": ["In", "In", "Pb", "Au"],
  "frac_coords": [[0.0000, 0.0000, 0.0000], [0.4106, 0.5000, 0.8216], [0.6844, 0.5000, 0.3637], [0.2530, 0.0000, 0.5010]]
}



{
  "formula": "BeCrSi2",
  "functional": "SCAN",
  "state": "PBEsol geometry",
  "sg": "Cm (8)",
  "e_form_raw_ev_per_atom": 0.0971,
  "lattice_angstrom": [[4.3009, -1.2588, 0.0000], [4.3009, 1.2588, 0.0000], [-0.3432, 0.0000, 4.1657]],
  "species": ["Be", "Cr", "Si", "Si"],
  "frac_coords": [[0.0000, 0.0000, 0.0000], [0.7378, 0.7378, 0.2579], [0.2391, 0.2391, 0.7674], [0.4796, 0.4796, 0.4729]]
}



{
  "formula": "LiRh3",
  "functional": "SCAN",
  "state": "PBEsol geometry",
  "dft_energy_ev_per_cell": -103.804,
  "sg": "R-3m (166)",
  "lattice_angstrom": [[1.3310, 0.7684, 8.7326], [-1.3310, 0.7684, 8.7326], [0.0000, -1.5369, 8.7326]],
  "species": ["Li", "Rh", "Rh", "Rh"],
  "frac_coords": [[0.0000, 0.0000, 0.0000], [0.2493, 0.2493, 0.2493], [0.5000, 0.5000, 0.5000], [0.7507, 0.7507, 0.7507]]
}



{
  "formula": "TiAlSN2",
  "functional": "SCAN",
  "state": "PBEsol geometry",
  "sg": "P4/mmm (123)",
  "e_form_raw_ev_per_atom": 0.0017,
  "lattice_angstrom": [[3.6346, 0.0000, 0.0000], [0.0000, 3.6346, 0.0000], [0.0000, 0.0000, 4.7111]],
  "species": ["Ti", "Al", "S", "N", "N"],
  "frac_coords": [[0.0000, 0.0000, 0.0000], [0.5000, 0.5000, 0.5000], [0.5000, 0.5000, 0.0000], [0.0000, 0.5000, 0.5000], [0.5000, 0.0000, 0.5000]]
}



{
  "formula": "Li3Mg",
  "functional": "SCAN",
  "state": "PBEsol geometry",
  "dft_energy_ev_per_cell": -24.512,
  "sg": "I4/mmm (139)",
  "lattice_angstrom": [[-2.1791, 2.1791, 8.2976], [2.1791, -2.1791, 8.2976], [2.1791, 2.1791, -8.2976]],
  "species": ["Li", "Li", "Li", "Li", "Li", "Li", "Mg", "Mg"],
  "frac_coords": [[0.0000, 0.5000, 0.5000], [0.1272, 0.1272, 0.0000], [0.2500, 0.7500, 0.5000], [0.5000, 0.0000, 0.5000], [0.7500, 0.2500, 0.5000], [0.8728, 0.8728, 0.0000], [0.3758, 0.3758, 0.0000], [0.6242, 0.6242, 0.0000]]
}



{
  "formula": "HfHRh3",
  "functional": "SCAN",
  "state": "PBEsol geometry",
  "sg": "Pm-3m (221)",
  "relative_energy_ev_per_fu": 11.53,
  "lattice_angstrom": [[4.7197, 0.0000, 0.0000], [0.0000, 4.7197, 0.0000], [0.0000, 0.0000, 4.7197]],
  "species": ["Hf", "H", "Rh", "Rh", "Rh"],
  "frac_coords": [[0.0000, 0.0000, 0.0000], [0.5000, 0.5000, 0.5000], [0.0000, 0.0000, 0.5000], [0.0000, 0.5000, 0.0000], [0.5000, 0.0000, 0.0000]]
}



{
  "formula": "BaSb2Pb2",
  "functional": "SCAN",
  "state": "PBEsol geometry",
  "sg": "I4/mmm (139)",
  "e_form_raw_ev_per_atom": -0.4213,
  "lattice_angstrom": [[-2.3527, 2.3527, 7.6241], [2.3527, -2.3527, 7.6241], [2.3527, 2.3527, -7.6241]],
  "species": ["Ba", "Sb", "Sb", "Pb", "Pb"],
  "frac_coords": [[0.0000, 0.0000, 0.0000], [0.4045, 0.4045, 0.0000], [0.5955, 0.5955, 0.0000], [0.2500, 0.7500, 0.5000], [0.7500, 0.2500, 0.5000]]
}



{
  "formula": "BaCdRu2",
  "functional": "SCAN",
  "state": "PBEsol geometry",
  "dft_energy_ev_per_cell": -138.159,
  "sg": "Pmm2 (25)",
  "lattice_angstrom": [[2.9557, 0.0000, 0.0000], [0.0000, 3.5490, 0.0000], [0.0000, 0.0000, 7.9385]],
  "species": ["Ba", "Cd", "Ru", "Ru"],
  "frac_coords": [[0.0000, 0.0000, 0.0000], [0.5000, 0.5000, 0.3390], [0.0000, 0.0000, 0.5636], [0.5000, 0.5000, 0.6939]]
}



{
  "formula": "LiRe2Sb",
  "functional": "SCAN",
  "state": "PBEsol geometry",
  "sg": "R-3m (166)",
  "e_form_raw_ev_per_atom": 0.8290,
  "lattice_angstrom": [[1.4751, 0.8516, 8.6941], [-1.4751, 0.8516, 8.6941], [0.0000, -1.7033, 8.6941]],
  "species": ["Li", "Re", "Re", "Sb"],
  "frac_coords": [[0.0000, 0.0000, 0.0000], [0.2466, 0.2466, 0.2466], [0.7534, 0.7534, 0.7534], [0.5000, 0.5000, 0.5000]]
}



{
  "formula": "Ca2ZnGaSe",
  "functional": "SCAN",
  "state": "PBEsol geometry",
  "sg": "P4/mmm (123)",
  "e_form_raw_ev_per_atom": -0.3985,
  "lattice_angstrom": [[5.4218, 0.0000, 0.0000], [0.0000, 5.4218, 0.0000], [0.0000, 0.0000, 4.7590]],
  "species": ["Ca", "Ca", "Zn", "Ga", "Se"],
  "frac_coords": [[0.0000, 0.5000, 0.0000], [0.5000, 0.0000, 0.0000], [0.0000, 0.0000, 0.5000], [0.5000, 0.5000, 0.5000], [0.0000, 0.0000, 0.0000]]
}